Entry 1:
# SmLu3Ru | the Alexandria database | PBE | optimized geometry
# M_tot, μB/f.u.: 0.00
# Fermi-level density of states, states/eV/cell: 6.69
# Calculated total energy, eV per formula unit: -28.23
data_SmLu3Ru
_chemical_formula_sum 'Sm1 Lu3 Ru1'
_symmetry_space_group_name_H-M 'P m -3 m'
_symmetry_Int_Tables_number 221
_symmetry_space_group_name_Hall '-P 4 2 3'
_cell_length_a 5.290
_cell_length_b 5.290
_cell_length_c 5.290
_cell_angle_alpha 90.00
_cell_angle_beta 90.00
_cell_angle_gamma 90.00
loop_
_atom_site_label
_atom_site_type_symbol
_atom_site_fract_x
_atom_site_fract_y
_atom_site_fract_z
Sm1 Sm 0.000 0.000 0.000
Lu1 Lu 0.000 0.500 0.500
Ru1 Ru 0.500 0.500 0.500

---

Entry 2:
# SmLuRu | the Alexandria database | PBE | optimized geometry
# M_tot, μB/f.u.: 0.00
# Fermi-level density of states, states/eV/cell: 7.10
# Offset from the most stable computed form, meV/atom: 63
data_SmLuRu
_chemical_formula_sum 'Sm4 Lu4 Ru4'
_symmetry_space_group_name_H-M 'F -4 3 m'
_symmetry_Int_Tables_number 216
_symmetry_space_group_name_Hall 'F -4 2 3'
_cell_length_a 6.761
_cell_length_b 6.761
_cell_length_c 6.761
_cell_angle_alpha 90.00
_cell_angle_beta 90.00
_cell_angle_gamma 90.00
loop_
_atom_site_label
_atom_site_type_symbol
_atom_site_fract_x
_atom_site_fract_y
_atom_site_fract_z
Sm1 Sm 0.000 0.000 0.000
Lu1 Lu 0.000 0.000 0.500
Ru1 Ru 0.250 0.250 0.750

---

Entry 3:
# SmLuRu4 | the Alexandria database | PBE | optimized geometry
# M_tot, μB/f.u.: 0.00
# Fermi-level density of states, states/eV/cell: 26.02
# Calculated total energy, eV per formula unit: -47.99
data_SmLuRu4
_chemical_formula_sum 'Sm4 Lu4 Ru16'
_symmetry_space_group_name_H-M 'F -4 3 m'
_symmetry_Int_Tables_number 216
_symmetry_space_group_name_Hall 'F -4 2 3'
_cell_length_a 7.549
_cell_length_b 7.549
_cell_length_c 7.549
_cell_angle_alpha 90.00
_cell_angle_beta 90.00
_cell_angle_gamma 90.00
loop_
_atom_site_label
_atom_site_type_symbol
_atom_site_fract_x
_atom_site_fract_y
_atom_site_fract_z
Sm1 Sm 0.000 0.000 0.000
Lu1 Lu 0.250 0.250 0.750
Ru1 Ru 0.125 0.125 0.375

---

Entry 4:
# SmLuRu2 | the Alexandria database | PBE | optimized geometry
# M_tot, μB/f.u.: 0.00
# Fermi-level density of states, states/eV/cell: 13.27
# Calculated total energy, eV per formula unit: -28.98
data_SmLuRu2
_chemical_formula_sum 'Sm4 Lu4 Ru8'
_symmetry_space_group_name_H-M 'F m -3 m'
_symmetry_Int_Tables_number 225
_symmetry_space_group_name_Hall '-F 4 2 3'
_cell_length_a 6.799
_cell_length_b 6.799
_cell_length_c 6.799
_cell_angle_alpha 90.00
_cell_angle_beta 90.00
_cell_angle_gamma 90.00
loop_
_atom_site_label
_atom_site_type_symbol
_atom_site_fract_x
_atom_site_fract_y
_atom_site_fract_z
Sm1 Sm 0.000 0.000 0.000
Lu1 Lu 0.000 0.000 0.500
Ru1 Ru 0.250 0.250 0.250

---

Entry 5:
# SmLuTlRu | the Alexandria database | PBE | optimized geometry
# M_tot, μB/f.u.: 0.00
# Fermi-level density of states, states/eV/cell: 9.21
# Calculated total energy, eV per formula unit: -21.78
data_SmLuTlRu
_chemical_formula_sum 'Sm4 Lu4 Tl4 Ru4'
_symmetry_space_group_name_H-M 'F -4 3 m'
_symmetry_Int_Tables_number 216
_symmetry_space_group_name_Hall 'F -4 2 3'
_cell_length_a 7.194
_cell_length_b 7.194
_cell_length_c 7.194
_cell_angle_alpha 90.00
_cell_angle_beta 90.00
_cell_angle_gamma 90.00
loop_
_atom_site_label
_atom_site_type_symbol
_atom_site_fract_x
_atom_site_fract_y
_atom_site_fract_z
Sm1 Sm 0.000 0.000 0.000
Lu1 Lu 0.000 0.000 0.500
Tl1 Tl 0.250 0.250 0.250
Ru1 Ru 0.250 0.250 0.750

---

Entry 6:
# TbLuSnRu | the Alexandria database | PBE | optimized geometry
# M_tot, μB/f.u.: 0.00
# Fermi-level density of states, states/eV/cell: 9.57
# Calculated total energy, eV per formula unit: -24.12
data_TbLuSnRu
_chemical_formula_sum 'Tb4 Lu4 Sn4 Ru4'
_symmetry_space_group_name_H-M 'F -4 3 m'
_symmetry_Int_Tables_number 216
_symmetry_space_group_name_Hall 'F -4 2 3'
_cell_length_a 7.115
_cell_length_b 7.115
_cell_length_c 7.115
_cell_angle_alpha 90.00
_cell_angle_beta 90.00
_cell_angle_gamma 90.00
loop_
_atom_site_label
_atom_site_type_symbol
_atom_site_fract_x
_atom_site_fract_y
_atom_site_fract_z
Tb1 Tb 0.000 0.000 0.000
Lu1 Lu 0.000 0.000 0.500
Sn1 Sn 0.250 0.250 0.250
Ru1 Ru 0.250 0.250 0.750

---

Entry 7:
# LuTcSnRu | the Alexandria database | PBE | optimized geometry
# M_tot, μB/f.u.: 0.49
# Fermi-level density of states, states/eV/cell: 25.16
# Calculated total energy, eV per formula unit: -28.94
data_LuTcSnRu
_chemical_formula_sum 'Lu4 Tc4 Sn4 Ru4'
_symmetry_space_group_name_H-M 'F -4 3 m'
_symmetry_Int_Tables_number 216
_symmetry_space_group_name_Hall 'F -4 2 3'
_cell_length_a 6.570
_cell_length_b 6.570
_cell_length_c 6.570
_cell_angle_alpha 90.00
_cell_angle_beta 90.00
_cell_angle_gamma 90.00
loop_
_atom_site_label
_atom_site_type_symbol
_atom_site_fract_x
_atom_site_fract_y
_atom_site_fract_z
Lu1 Lu 0.000 0.000 0.000
Tc1 Tc 0.250 0.250 0.750
Sn1 Sn 0.000 0.000 0.500
Ru1 Ru 0.250 0.250 0.250

---

Entry 8:
# TmLuSnRu | the Alexandria database | PBE | optimized geometry
# M_tot, μB/f.u.: 0.00
# Fermi-level density of states, states/eV/cell: 8.77
# Calculated total energy, eV per formula unit: -24.07
data_TmLuSnRu
_chemical_formula_sum 'Tm4 Lu4 Sn4 Ru4'
_symmetry_space_group_name_H-M 'F -4 3 m'
_symmetry_Int_Tables_number 216
_symmetry_space_group_name_Hall 'F -4 2 3'
_cell_length_a 7.049
_cell_length_b 7.049
_cell_length_c 7.049
_cell_angle_alpha 90.00
_cell_angle_beta 90.00
_cell_angle_gamma 90.00
loop_
_atom_site_label
_atom_site_type_symbol
_atom_site_fract_x
_atom_site_fract_y
_atom_site_fract_z
Tm1 Tm 0.000 0.000 0.000
Lu1 Lu 0.000 0.000 0.500
Sn1 Sn 0.250 0.250 0.750
Ru1 Ru 0.250 0.250 0.250

---

Entry 9:
# YLuSnRu | the Alexandria database | PBE | optimized geometry
# M_tot, μB/f.u.: 0.00
# Fermi-level density of states, states/eV/cell: 9.05
# Calculated total energy, eV per formula unit: -26.00
data_YLuSnRu
_chemical_formula_sum 'Y4 Lu4 Sn4 Ru4'
_symmetry_space_group_name_H-M 'F -4 3 m'
_symmetry_Int_Tables_number 216
_symmetry_space_group_name_Hall 'F -4 2 3'
_cell_length_a 7.104
_cell_length_b 7.104
_cell_length_c 7.104
_cell_angle_alpha 90.00
_cell_angle_beta 90.00
_cell_angle_gamma 90.00
loop_
_atom_site_label
_atom_site_type_symbol
_atom_site_fract_x
_atom_site_fract_y
_atom_site_fract_z
Y1 Y 0.000 0.000 0.000
Lu1 Lu 0.000 0.000 0.500
Sn1 Sn 0.250 0.250 0.250
Ru1 Ru 0.250 0.250 0.750

---

Entry 10:
# SrLu3Ru | the Alexandria database | PBE | optimized geometry
# M_tot, μB/f.u.: 0.00
# Fermi-level density of states, states/eV/cell: 3.05
# Calculated total energy, eV per formula unit: -25.43
data_SrLu3Ru
_chemical_formula_sum 'Sr1 Lu3 Ru1'
_symmetry_space_group_name_H-M 'P m -3 m'
_symmetry_Int_Tables_number 221
_symmetry_space_group_name_Hall '-P 4 2 3'
_cell_length_a 5.375
_cell_length_b 5.375
_cell_length_c 5.375
_cell_angle_alpha 90.00
_cell_angle_beta 90.00
_cell_angle_gamma 90.00
loop_
_atom_site_label
_atom_site_type_symbol
_atom_site_fract_x
_atom_site_fract_y
_atom_site_fract_z
Sr1 Sr 0.000 0.000 0.000
Lu1 Lu 0.000 0.500 0.500
Ru1 Ru 0.500 0.500 0.500

---

Entry 11:
# LuTaRu | the Alexandria database | PBE | optimized geometry
# M_tot, μB/f.u.: 0.00
# Fermi-level density of states, states/eV/cell: 4.79
# Calculated total energy, eV per formula unit: -26.36
data_LuTaRu
_chemical_formula_sum 'Lu2 Ta2 Ru2'
_symmetry_space_group_name_H-M 'I 4 m m'
_symmetry_Int_Tables_number 107
_symmetry_space_group_name_Hall 'I 4 -2'
_cell_length_a 3.236
_cell_length_b 3.236
_cell_length_c 10.799
_cell_angle_alpha 90.00
_cell_angle_beta 90.00
_cell_angle_gamma 90.00
loop_
_atom_site_label
_atom_site_type_symbol
_atom_site_fract_x
_atom_site_fract_y
_atom_site_fract_z
Lu1 Lu 0.000 0.000 0.000
Ta1 Ta 0.000 0.000 0.305
Ru1 Ru 0.000 0.000 0.675

---

Entry 12:
# LuTaTcRu | the Alexandria database | PBE | optimized geometry
# M_tot, μB/f.u.: 0.00
# Fermi-level density of states, states/eV/cell: 11.05
# Calculated total energy, eV per formula unit: -37.53
data_LuTaTcRu
_chemical_formula_sum 'Lu4 Ta4 Tc4 Ru4'
_symmetry_space_group_name_H-M 'F -4 3 m'
_symmetry_Int_Tables_number 216
_symmetry_space_group_name_Hall 'F -4 2 3'
_cell_length_a 6.489
_cell_length_b 6.489
_cell_length_c 6.489
_cell_angle_alpha 90.00
_cell_angle_beta 90.00
_cell_angle_gamma 90.00
loop_
_atom_site_label
_atom_site_type_symbol
_atom_site_fract_x
_atom_site_fract_y
_atom_site_fract_z
Lu1 Lu 0.000 0.000 0.000
Ta1 Ta 0.000 0.000 0.500
Tc1 Tc 0.250 0.250 0.750
Ru1 Ru 0.250 0.250 0.250

---

Entry 13:
# TbLuRu4 | the Alexandria database | PBE | optimized geometry
# M_tot, μB/f.u.: 0.00
# Fermi-level density of states, states/eV/cell: 25.82
# Calculated total energy, eV per formula unit: -48.19
data_TbLuRu4
_chemical_formula_sum 'Tb4 Lu4 Ru16'
_symmetry_space_group_name_H-M 'F -4 3 m'
_symmetry_Int_Tables_number 216
_symmetry_space_group_name_Hall 'F -4 2 3'
_cell_length_a 7.515
_cell_length_b 7.515
_cell_length_c 7.515
_cell_angle_alpha 90.00
_cell_angle_beta 90.00
_cell_angle_gamma 90.00
loop_
_atom_site_label
_atom_site_type_symbol
_atom_site_fract_x
_atom_site_fract_y
_atom_site_fract_z
Tb1 Tb 0.000 0.000 0.000
Lu1 Lu 0.250 0.250 0.250
Ru1 Ru 0.125 0.125 0.625

---

Entry 14:
# TbLuRu | the Alexandria database | PBE | optimized geometry
# M_tot, μB/f.u.: 0.00
# Fermi-level density of states, states/eV/cell: 2.80
# Offset from the most stable computed form, meV/atom: 0
data_TbLuRu
_chemical_formula_sum 'Tb2 Lu2 Ru2'
_symmetry_space_group_name_H-M 'I 4 m m'
_symmetry_Int_Tables_number 107
_symmetry_space_group_name_Hall 'I 4 -2'
_cell_length_a 3.376
_cell_length_b 3.376
_cell_length_c 12.791
_cell_angle_alpha 90.00
_cell_angle_beta 90.00
_cell_angle_gamma 90.00
loop_
_atom_site_label
_atom_site_type_symbol
_atom_site_fract_x
_atom_site_fract_y
_atom_site_fract_z
Tb1 Tb 0.000 0.000 0.000
Lu1 Lu 0.000 0.000 0.255
Ru1 Ru 0.000 0.000 0.632

---

Entry 15:
# TbLuRu | the Alexandria database | PBE | optimized geometry
# M_tot, μB/f.u.: 0.00
# Fermi-level density of states, states/eV/cell: 4.14
# Offset from the most stable computed form, meV/atom: 65
data_TbLuRu
_chemical_formula_sum 'Tb4 Lu4 Ru4'
_symmetry_space_group_name_H-M 'F -4 3 m'
_symmetry_Int_Tables_number 216
_symmetry_space_group_name_Hall 'F -4 2 3'
_cell_length_a 6.705
_cell_length_b 6.705
_cell_length_c 6.705
_cell_angle_alpha 90.00
_cell_angle_beta 90.00
_cell_angle_gamma 90.00
loop_
_atom_site_label
_atom_site_type_symbol
_atom_site_fract_x
_atom_site_fract_y
_atom_site_fract_z
Tb1 Tb 0.000 0.000 0.000
Lu1 Lu 0.000 0.000 0.500
Ru1 Ru 0.250 0.250 0.750